(1)
PrTiCo2 | the Alexandria database | PBE | relaxed; spin magnetization = 0.68 μB/f.u.; crystal system = tetragonal; calculated density = 7.644 g/cm3; density of states at the Fermi level = 0.979 states/eV per atom; formation energy from the elements = -0.32 eV/f.u.
1.0
3.108 0.000 0.000
0.000 3.108 0.000
0.000 0.000 6.896
Pr Co Ti
1 2 1
Direct
0.500 0.500 0.500
0.000 0.000 0.809
0.000 0.000 0.191
0.500 0.500 0.000

=====

(2)
MgScAl2 | the Alexandria database | PBE | relaxed; spin magnetization = 0.00 μB/f.u.; crystal system = monoclinic; calculated density = 2.587 g/cm3; density of states at the Fermi level = 0.558 states/eV per atom; formation energy from the elements = -0.84 eV/f.u.
1.0
-3.600 2.507 -0.563
0.149 -0.499 -3.170
-3.151 -4.751 -1.009
Mg Sc Al
1 1 2
Direct
0.000 0.459 0.459
0.500 0.788 0.796
0.500 0.058 0.262
0.000 0.195 0.983

=====

(3)
TaBe2Tl | the Alexandria database | PBE | relaxed; spin magnetization = 0.00 μB/f.u.; crystal system = monoclinic; calculated density = 11.235 g/cm3; density of states at the Fermi level = 0.415 states/eV per atom; formation energy from the elements = 1.95 eV/f.u.; energy above the most stable polymorph in this dataset = 0.1305 eV/atom
1.0
3.868 0.000 0.000
0.000 3.031 0.006
0.000 1.467 5.088
Be Tl Ta
2 1 1
Direct
0.000 0.180 0.013
0.500 0.055 0.261
0.500 0.791 0.795
0.000 0.474 0.431

=====

(4)
AcPuHg2 | the Alexandria database | PBE | relaxed; spin magnetization = 6.05 μB/f.u.; crystal system = tetragonal; calculated density = 12.110 g/cm3; density of states at the Fermi level = 2.692 states/eV per atom; formation energy from the elements = -1.09 eV/f.u.; energy above the most stable polymorph in this dataset = 0.0000 eV/atom
1.0
-1.932 -2.337 -2.485
3.100 -2.395 -0.158
-2.825 -4.055 6.009
Ac Pu Hg
1 1 2
Direct
0.500 0.500 0.500
0.500 0.500 0.000
0.000 0.000 0.770
0.000 0.000 0.230

=====

(5)
ZrGa2PdCl | the Alexandria database | PBE | relaxed; spin magnetization = 0.60 μB/f.u.; crystal system = tetragonal; calculated density = 4.169 g/cm3; formation energy without anion corrections = 0.56 eV/atom; density of states at the Fermi level = 1.278 states/eV per atom; energy above the most stable polymorph in this dataset = 0.6519 eV/atom
1.0
-3.817 1.805 3.495
2.607 -1.813 3.784
2.665 4.769 0.448
Cl Zr Ga Pd
1 1 2 1
Direct
0.500 0.500 0.500
0.000 0.000 0.000
0.000 0.000 0.500
0.500 0.000 0.000
0.000 0.500 0.000

=====

(6)
CsSc2Au2 | the Alexandria database | PBE | relaxed; spin magnetization = 0.00 μB/f.u.; crystal system = tetragonal; calculated density = 5.908 g/cm3; density of states at the Fermi level = 1.038 states/eV per atom; formation energy from the elements = -1.37 eV/f.u.; energy above the most stable polymorph in this dataset = 0.0000 eV/atom
1.0
-3.316 -3.230 -0.325
0.020 -0.485 4.615
-7.279 3.861 2.770
Au Sc Cs
2 2 1
Direct
0.657 0.657 0.686
0.343 0.343 0.314
0.750 0.250 0.500
0.250 0.750 0.500
0.000 0.000 0.000

=====

(7)
CaReN2 | the Alexandria database | PBE | relaxed; spin magnetization = 0.00 μB/f.u.; crystal system = cubic; calculated density = 9.884 g/cm3; formation energy without anion corrections = 0.52 eV/atom; density of states at the Fermi level = 0.734 states/eV per atom; energy above the most stable polymorph in this dataset = 1.1595 eV/atom
1.0
-0.379 -3.664 1.352
1.017 -0.843 3.695
-2.766 -0.835 2.655
N Re Ca
2 1 1
Direct
0.750 0.750 0.750
0.250 0.250 0.250
0.500 0.500 0.500
0.000 0.000 0.000

=====

(8)
AgBr2 | the Alexandria database | PBE | relaxed; spin magnetization = 0.00 μB/f.u.; crystal system = cubic; calculated density = 5.621 g/cm3; formation energy without anion corrections = -0.12 eV/atom; density of states at the Fermi level = 1.415 states/eV per atom
1.0
-0.709 6.688 -1.090
-4.116 -1.295 -5.273
-5.383 0.110 4.175
Ag Br
4 8
Direct
0.500 0.500 0.000
0.000 0.000 0.000
0.500 0.000 0.500
0.000 0.500 0.500
0.344 0.156 0.156
0.344 0.344 0.656
0.844 0.344 0.844
0.656 0.656 0.344
0.156 0.656 0.156
0.156 0.844 0.656
0.656 0.844 0.844
0.844 0.156 0.344